{"formula": "TaCoO2F", "functional": "GGA+U", "state": "relaxed", "lattice": [[3.968, 0.000, 0.000], [0.000, 3.968, 0.000], [0.000, 0.000, 4.204]], "species": ["F", "Co", "O", "O", "Ta"], "fractional_positions": [[0.000, 0.000, 0.500], [0.500, 0.500, 0.500], [0.500, 0.000, 0.000], [0.000, 0.500, 0.000], [0.000, 0.000, 0.000]], "dft_energy_ev_per_fu": -36.70}